Entry 1:
Compound: MnReTc2
Source: the Alexandria database
Functional: GGA-PBE
Structure: optimized geometry

extended XYZ file:
```
4
Lattice="2.704 0.000 0.000 0.000 2.704 0.000 0.000 0.000 7.552" Properties=species:S:1:pos:R:3 pbc="T T T"
Mn 0.000 0.000 0.000
Re 1.352 1.352 1.748
Tc 0.000 0.000 3.789
Tc 1.352 1.352 5.818
```

Its total energy is -10.507 eV per atom. The value obtained for the volume is 55 Å³/cell. The space group is P4mm. For the magnetization, the calculation gives 0.00 μB per formula unit. The crystal system is tetragonal. Its formation energy is 0.08 eV per atom.

Entry 2:
Compound: Nd4CuHg3
Source: the Alexandria database
Functional: GGA-PBE
Structure: optimized geometry

extended XYZ file:
```
8
Lattice="3.761 0.000 0.000 0.000 3.761 0.000 0.000 0.000 15.322" Properties=species:S:1:pos:R:3 pbc="T T T"
Nd 0.000 0.000 1.694
Nd 0.000 0.000 5.678
Nd 0.000 0.000 9.644
Nd 0.000 0.000 13.628
Cu 1.881 1.881 0.000
Hg 1.881 1.881 3.707
Hg 1.881 1.881 7.661
Hg 1.881 1.881 11.615
```

Its total energy is -3.389 eV per atom. The value obtained for the volume is 217 Å³/cell. The space group is P4/mmm. For the magnetization, the calculation gives 0.63 μB per formula unit. The crystal system is tetragonal. Its formation energy is -0.38 eV per atom.

Entry 3:
Compound: AlIrSe2
Source: the Alexandria database
Functional: GGA-PBE
Structure: optimized geometry

extended XYZ file:
```
4
Lattice="1.784 1.030 7.664 -1.784 1.030 7.664 0.000 -2.060 7.664" Properties=species:S:1:pos:R:3 pbc="T T T"
Al 0.000 0.000 0.000
Ir 0.000 0.000 17.378
Se 0.000 0.000 6.330
Se 0.000 0.000 10.954
```

Its total energy is -5.195 eV per atom. The value obtained for the volume is 84 Å³/cell. The space group is R3m. For the magnetization, the calculation gives 0.00 μB per formula unit. The calculation puts the uncorrected formation energy at -0.302 eV per atom. The crystal system is trigonal.

Entry 4:
Compound: SrPm2Pd3
Source: the Alexandria database
Functional: GGA-PBE
Structure: optimized geometry

extended XYZ file:
```
6
Lattice="3.619 0.000 0.000 0.000 3.619 0.000 0.000 0.000 11.145" Properties=species:S:1:pos:R:3 pbc="T T T"
Sr 0.000 0.000 0.000
Pm 0.000 0.000 3.747
Pm 0.000 0.000 7.399
Pd 1.810 1.810 2.168
Pd 1.810 1.810 5.573
Pd 1.810 1.810 8.977
```

Its total energy is -5.189 eV per atom. The value obtained for the volume is 146 Å³/cell. The space group is P4/mmm. For the magnetization, the calculation gives 0.00 μB per formula unit. The crystal system is tetragonal. Its formation energy is -0.73 eV per atom.

Entry 5:
Compound: Pr4OsO10
Source: the Alexandria database
Functional: GGA-PBE
Structure: optimized geometry

extended XYZ file:
```
15
Lattice="-4.339 4.339 2.802 4.339 -4.339 2.802 4.339 4.339 -2.802" Properties=species:S:1:pos:R:3 pbc="T T T"
Pr 6.044 0.861 0.000
Pr 0.861 2.635 0.000
Pr 3.479 1.704 2.802
Pr -1.704 3.479 2.802
Os 0.000 0.000 2.802
O 5.139 2.835 -1.211
O 2.835 3.540 -1.211
O 4.339 0.000 1.401
O 1.505 0.800 1.591
O -0.800 1.505 1.591
O 5.139 2.835 1.211
O 2.835 3.540 1.211
O 0.000 4.339 1.401
O 1.505 0.800 4.014
O -0.800 1.505 4.014
```

Its total energy is -7.606 eV per atom. The value obtained for the volume is 211 Å³/cell. The space group is I4/m. For the magnetization, the calculation gives 3.80 μB per formula unit. The calculation puts the uncorrected formation energy at -2.278 eV per atom. The crystal system is tetragonal.

Entry 6:
Compound: Pm3Dy3Y2
Source: the Alexandria database
Functional: GGA-PBE
Structure: optimized geometry

extended XYZ file:
```
8
Lattice="-2.537 2.539 10.161 2.537 -2.539 10.161 2.537 2.539 -10.161" Properties=species:S:1:pos:R:3 pbc="T T T"
Pm 0.000 0.000 0.000
Pm 2.537 0.000 7.631
Pm 0.000 2.539 2.530
Dy 2.537 0.000 2.548
Dy 0.000 0.000 10.161
Dy 0.000 2.539 7.613
Y 0.000 0.000 5.071
Y 0.000 0.000 15.251
```

Its total energy is -5.104 eV per atom. The value obtained for the volume is 262 Å³/cell. The space group is Immm. For the magnetization, the calculation gives 0.00 μB per formula unit. The crystal system is orthorhombic. Its formation energy is 0.02 eV per atom.

Entry 7:
Compound: Tl2Rh2O7
Source: the Alexandria database
Functional: GGA-PBE
Structure: optimized geometry

extended XYZ file:
```
22
Lattice="0.000 5.153 5.153 5.153 0.000 5.153 5.153 5.153 0.000" Properties=species:S:1:pos:R:3 pbc="T T T"
Tl 0.000 0.000 0.000
Tl 2.577 2.577 0.000
Tl 2.577 0.000 2.577
Tl 0.000 2.577 2.577
Rh 5.153 2.577 2.577
Rh 2.577 5.153 2.577
Rh 2.577 2.577 5.153
Rh 5.153 5.153 5.153
O 1.288 1.288 1.288
O 3.865 3.865 1.763
O 3.865 1.763 3.865
O 5.967 3.865 3.865
O 6.442 6.442 4.340
O 6.442 4.340 6.442
O 8.544 6.442 6.442
O 1.763 3.865 3.865
O 3.865 5.967 3.865
O 3.865 3.865 5.967
O 4.340 6.442 6.442
O 6.442 8.544 6.442
O 6.442 6.442 8.544
O 9.018 9.018 9.018
```

Its total energy is -5.665 eV per atom. The value obtained for the volume is 274 Å³/cell. The space group is Fd-3m. For the magnetization, the calculation gives 2.01 μB per formula unit. The calculation puts the uncorrected formation energy at -0.743 eV per atom. The crystal system is cubic.

Entry 8:
Compound: TeMoAs
Source: the Alexandria database
Functional: GGA-PBE
Structure: optimized geometry

extended XYZ file:
```
3
Lattice="3.444 0.000 0.000 -1.722 2.983 0.000 0.000 0.000 6.215" Properties=species:S:1:pos:R:3 pbc="T T T"
Te 0.000 0.000 0.000
Mo 0.000 1.988 4.319
As 1.722 0.994 2.694
```

Its total energy is -6.233 eV per atom. The value obtained for the volume is 64 Å³/cell. The space group is P3m1. For the magnetization, the calculation gives 0.00 μB per formula unit. The calculation puts the uncorrected formation energy at -0.026 eV per atom. The crystal system is trigonal.

Entry 9:
Compound: Hg2OsSe
Source: the Alexandria database
Functional: GGA-PBE
Structure: optimized geometry

extended XYZ file:
```
4
Lattice="4.238 0.000 0.000 0.000 4.238 0.000 0.000 0.000 4.319" Properties=species:S:1:pos:R:3 pbc="T T T"
Hg 0.000 2.119 0.000
Hg 2.119 0.000 0.000
Os 0.000 0.000 2.159
Se 2.119 2.119 2.159
```

Its total energy is -2.871 eV per atom. The value obtained for the volume is 78 Å³/cell. The space group is P4/mmm. For the magnetization, the calculation gives 0.75 μB per formula unit. The calculation puts the uncorrected formation energy at 0.958 eV per atom. The crystal system is tetragonal.

Entry 10:
Compound: Ac2ScSi2
Source: the Alexandria database
Functional: GGA-PBE
Structure: optimized geometry

extended XYZ file:
```
20
Lattice="7.623 0.000 0.000 0.000 7.623 0.000 0.000 0.000 9.511" Properties=species:S:1:pos:R:3 pbc="T T T"
Ac 1.368 2.443 0.000
Ac 1.369 2.444 4.756
Ac 2.443 6.255 0.000
Ac 2.444 6.254 4.756
Ac 5.179 1.369 4.756
Ac 5.180 1.368 0.000
Ac 6.254 5.179 4.756
Ac 6.255 5.180 0.000
Sc 0.000 0.000 2.380
Sc 0.000 0.000 7.131
Sc 3.811 3.811 2.375
Sc 3.811 3.811 7.136
Si 0.884 4.695 2.378
Si 0.884 4.695 7.133
Si 2.927 0.884 2.378
Si 2.927 0.884 7.133
Si 4.695 6.739 2.378
Si 4.695 6.739 7.133
Si 6.739 2.927 2.378
Si 6.739 2.927 7.133
```

Its total energy is -5.639 eV per atom. The value obtained for the volume is 553 Å³/cell. The space group is P4/mnc. For the magnetization, the calculation gives 0.00 μB per formula unit. The calculation puts the uncorrected formation energy at -0.560 eV per atom. The crystal system is tetragonal.

Entry 11:
Compound: PmTm2Hg2
Source: the Alexandria database
Functional: GGA-PBE
Structure: optimized geometry

extended XYZ file:
```
5
Lattice="5.148 0.000 0.000 -2.574 4.458 0.000 0.000 0.000 6.412" Properties=species:S:1:pos:R:3 pbc="T T T"
Pm 0.000 0.000 0.000
Tm 0.000 2.972 4.227
Tm 2.574 1.486 2.185
Hg 0.000 2.972 1.223
Hg 2.574 1.486 5.188
```

Its total energy is -3.083 eV per atom. The value obtained for the volume is 147 Å³/cell. The space group is P-3m1. For the magnetization, the calculation gives 0.00 μB per formula unit. The crystal system is trigonal. Its formation energy is -0.22 eV per atom.

Entry 12:
Compound: BRh4Pb
Source: the Alexandria database
Functional: GGA-PBE
Structure: optimized geometry

extended XYZ file:
```
12
Lattice="6.584 -2.435 0.000 6.584 2.435 0.000 -1.940 0.000 5.571" Properties=species:S:1:pos:R:3 pbc="T T T"
B 3.292 1.218 0.000
B 2.322 -1.218 2.786
Rh 5.213 1.895 0.293
Rh 3.216 0.552 1.969
Rh 6.984 1.895 2.493
Rh 2.246 -0.552 4.755
Rh 8.982 0.552 0.816
Rh 4.243 -1.895 3.078
Rh 8.012 -0.552 3.602
Rh 6.014 -1.895 5.279
Pb 5.129 0.581 4.178
Pb 6.099 -0.581 1.393
```

Its total energy is -6.701 eV per atom. The value obtained for the volume is 179 Å³/cell. The space group is C2/c. For the magnetization, the calculation gives 0.00 μB per formula unit. The crystal system is monoclinic. Its formation energy is -0.07 eV per atom.

What is the volume in the seventh record?
274 Å³/cell

Among the records above, which one has the lowest volume?
MnReTc2